(1)
Compound: Ac2CdCu4Sn3
Source: Alexandria via LeMat-Bulk
Functional: PBE-GGA
Structure: relaxed

Values from the calculation:
Space group = P-4m2 (115)
Total moment = 0.000 μB per cell
Calculated density = 8575 kg/m3
DFT formation energy = -0.40 eV per atom

Unit cell a=4.593 b=4.593 c=10.800 alpha=90.00 beta=90.00 gamma=90.00
Atoms (fractional coordinates):
1 Ac 0.500 0.000 0.237
2 Ac 0.000 0.500 0.763
3 Cd 0.500 0.500 0.500
4 Cu 0.500 0.500 0.000
5 Cu 0.000 0.000 0.000
6 Cu 0.500 0.000 0.633
7 Cu 0.000 0.500 0.367
8 Sn 0.000 0.000 0.500
9 Sn 0.500 0.000 0.874
10 Sn 0.000 0.500 0.126

(2)
Compound: YAl3Cl
Source: Alexandria via LeMat-Bulk
Functional: PBE-GGA
Structure: relaxed

Values from the calculation:
Space group = Pm-3m (221)
Uncorrected formation energy = 0.1999 eV per atom
Total moment = 0.000 μB per cell
Calculated density = 2919 kg/m3
Distance to the lowest polymorph of the same formula = 0 meV per atom

Unit cell a=4.888 b=4.888 c=4.888 alpha=90.00 beta=90.00 gamma=90.00
Atoms (fractional coordinates):
1 Y 0.500 0.500 0.500
2 Al 0.000 0.500 0.000
3 Al 0.000 0.000 0.500
4 Al 0.500 0.000 0.000
5 Cl 0.000 0.000 0.000

(3)
Compound: Ho4Er2Sc3
Source: Alexandria via LeMat-Bulk
Functional: PBE-GGA
Structure: relaxed

Values from the calculation:
Space group = C2/c (15)
Total moment = 0.000 μB per cell
Calculated density = 7269 kg/m3
DFT formation energy = 0.11 eV per atom

Unit cell a=5.661 b=10.897 c=10.897 alpha=61.88 beta=64.98 gamma=64.98
Atoms (fractional coordinates):
1 Ho 0.412 0.956 0.172
2 Ho 0.088 0.828 0.044
3 Ho 0.588 0.044 0.828
4 Ho 0.912 0.172 0.956
5 Ho 0.086 0.162 0.378
6 Ho 0.414 0.622 0.838
7 Ho 0.914 0.838 0.622
8 Ho 0.586 0.378 0.162
9 Er 0.411 0.290 0.505
10 Er 0.089 0.495 0.710
11 Er 0.589 0.710 0.495
12 Er 0.911 0.505 0.290
13 Sc 0.748 0.016 0.319
14 Sc 0.752 0.681 0.984
15 Sc 0.252 0.984 0.681
16 Sc 0.248 0.319 0.016
17 Sc 0.250 0.651 0.349
18 Sc 0.750 0.349 0.651

(4)
Compound: BeTlAu2
Source: Alexandria via LeMat-Bulk
Functional: PBE-GGA
Structure: relaxed

Values from the calculation:
Space group = I4/mmm (139)
Total moment = 0.000 μB per cell
Calculated density = 13926 kg/m3
Distance to the lowest polymorph of the same formula = 341 meV per atom
DFT formation energy = 0.34 eV per atom

Unit cell a=4.986 b=4.986 c=4.986 alpha=129.25 beta=129.25 gamma=74.61
Atoms (fractional coordinates):
1 Be 0.250 0.750 0.500
2 Tl 0.750 0.250 0.500
3 Au 0.000 0.000 0.000
4 Au 0.500 0.500 0.000

(5)
Compound: Zn2FeS2
Source: Alexandria via LeMat-Bulk
Functional: PBE-GGA
Structure: relaxed

Values from the calculation:
Space group = I4/mmm (139)
Uncorrected formation energy = 0.5008 eV per atom
Total moment = 0.002 μB per cell
Calculated density = 5067 kg/m3
Distance to the lowest polymorph of the same formula = 515 meV per atom

Unit cell a=3.234 b=3.234 c=8.182 alpha=78.60 beta=78.60 gamma=90.00
Atoms (fractional coordinates):
1 S 0.425 0.425 0.149
2 S 0.575 0.575 0.851
3 Zn 0.750 0.250 0.500
4 Zn 0.250 0.750 0.500
5 Fe 0.000 0.000 0.000

(6)
Compound: PmBeGe
Source: Alexandria via LeMat-Bulk
Functional: PBE-GGA
Structure: relaxed

Values from the calculation:
Space group = F-43m (216)
Total moment = 0.000 μB per cell
Calculated density = 6428 kg/m3
Distance to the lowest polymorph of the same formula = 380 meV per atom
DFT formation energy = -0.28 eV per atom

Unit cell a=4.359 b=4.359 c=4.359 alpha=60.00 beta=60.00 gamma=60.00
Atoms (fractional coordinates):
1 Be 0.250 0.250 0.250
2 Ge 0.000 0.000 0.000
3 Pm 0.500 0.500 0.500

Copy entry 3 word for word.
Compound: Ho4Er2Sc3
Source: Alexandria via LeMat-Bulk
Functional: PBE-GGA
Structure: relaxed

Values from the calculation:
Space group = C2/c (15)
Total moment = 0.000 μB per cell
Calculated density = 7269 kg/m3
DFT formation energy = 0.11 eV per atom

Unit cell a=5.661 b=10.897 c=10.897 alpha=61.88 beta=64.98 gamma=64.98
Atoms (fractional coordinates):
1 Ho 0.412 0.956 0.172
2 Ho 0.088 0.828 0.044
3 Ho 0.588 0.044 0.828
4 Ho 0.912 0.172 0.956
5 Ho 0.086 0.162 0.378
6 Ho 0.414 0.622 0.838
7 Ho 0.914 0.838 0.622
8 Ho 0.586 0.378 0.162
9 Er 0.411 0.290 0.505
10 Er 0.089 0.495 0.710
11 Er 0.589 0.710 0.495
12 Er 0.911 0.505 0.290
13 Sc 0.748 0.016 0.319
14 Sc 0.752 0.681 0.984
15 Sc 0.252 0.984 0.681
16 Sc 0.248 0.319 0.016
17 Sc 0.250 0.651 0.349
18 Sc 0.750 0.349 0.651

Question: Among the records above, which one has the highest calculated density?
Answer: BeTlAu2